Entry 1:
The following is a SCAN calculation of a crystal of ZnAu3 relaxed with PBEsol, from the Alexandria database.

Properties
The formation energy is -0.46 eV per formula unit. As for the space-group type: Cmmm (65).

Lattice parameters (Å, degrees): 4.798 4.798 2.987 90.00 90.00 108.61
Atoms (fractional coordinates):
Zn1 0.000 0.000 0.000
Au1 0.000 0.500 0.500
Au2 0.500 0.000 0.500
Au3 0.500 0.500 0.000



Entry 2:
The following is a SCAN calculation of a crystal of Cr2IrPt relaxed with PBEsol, from the Alexandria database.

Properties
The formation energy is -1.18 eV per formula unit. As for the space-group type: P4/mmm (123).

Lattice parameters (Å, degrees): 2.634 2.634 7.447 90.00 90.00 90.00
Atoms (fractional coordinates):
Cr1 0.000 0.000 0.243
Cr2 0.000 0.000 0.757
Ir1 0.500 0.500 0.000
Pt1 0.500 0.500 0.500



Entry 3:
The following is a SCAN calculation of a crystal of RbCaTe2 relaxed with PBEsol, from the Alexandria database.

Properties
As for the space-group type: I4_1/amd (141).

Lattice parameters (Å, degrees): 10.630 10.630 10.630 142.94 142.94 53.42
Atoms (fractional coordinates):
Rb1 0.375 0.625 0.750
Rb2 0.625 0.375 0.250
Ca1 0.125 0.875 0.250
Ca2 0.875 0.125 0.750
Te1 0.000 0.000 0.000
Te2 0.000 0.000 0.500
Te3 0.000 0.500 0.000
Te4 0.500 0.000 0.500



Entry 4:
The following is a SCAN calculation of a crystal of La2RhCl relaxed with PBEsol, from the Alexandria database.

Properties
Its polymorph energy (0 for the lowest one) is 0.226 eV/atom. As for the space-group type: P4/mmm (123).

Lattice parameters (Å, degrees): 3.420 3.420 7.903 90.00 90.00 90.00
Atoms (fractional coordinates):
La1 0.000 0.000 0.224
La2 0.000 0.000 0.776
Rh1 0.500 0.500 0.000
Cl1 0.500 0.500 0.500



Entry 5:
The following is a SCAN calculation of a crystal of LaSc2H2 relaxed with PBEsol, from the Alexandria database.

Properties
As for the space-group type: I4/mmm (139).

Lattice parameters (Å, degrees): 6.340 6.340 6.340 141.71 141.71 55.26
Atoms (fractional coordinates):
La1 0.000 0.000 0.000
Sc1 0.250 0.750 0.500
Sc2 0.750 0.250 0.500
H1 0.212 0.212 0.000
H2 0.788 0.788 0.000



Entry 6:
The following is a SCAN calculation of a crystal of Dy4CdPt relaxed with PBEsol, from the Alexandria database.

Properties
The formation energy is -4.58 eV per formula unit. As for the space-group type: F-43m (216).

Lattice parameters (Å, degrees): 9.502 9.502 9.502 60.00 60.00 60.00
Atoms (fractional coordinates):
Dy1 0.060 0.060 0.440
Dy2 0.060 0.440 0.060
Dy3 0.060 0.440 0.440
Dy4 0.186 0.186 0.814
Dy5 0.186 0.814 0.186
Dy6 0.186 0.814 0.814
Dy7 0.191 0.603 0.603
Dy8 0.440 0.060 0.060
Dy9 0.440 0.060 0.440
Dy10 0.440 0.440 0.060
Dy11 0.603 0.191 0.603
Dy12 0.603 0.603 0.191
Dy13 0.603 0.603 0.603
Dy14 0.814 0.186 0.186
Dy15 0.814 0.186 0.814
Dy16 0.814 0.814 0.186
Cd1 0.506 0.831 0.831
Cd2 0.831 0.506 0.831
Cd3 0.831 0.831 0.506
Cd4 0.831 0.831 0.831
Pt1 0.394 0.394 0.394
Pt2 0.394 0.394 0.819
Pt3 0.394 0.819 0.394
Pt4 0.819 0.394 0.394



Entry 7:
The following is a SCAN calculation of a crystal of Sc2Cd relaxed with PBEsol, from the Alexandria database.

Properties
The formation energy is -0.24 eV per formula unit. As for the space-group type: I4_1/amd (141).

Lattice parameters (Å, degrees): 14.189 14.189 14.189 167.48 167.48 17.74
Atoms (fractional coordinates):
Sc1 0.299 0.549 0.750
Sc2 0.451 0.701 0.750
Sc3 0.549 0.299 0.250
Sc4 0.701 0.451 0.250
Cd1 0.125 0.875 0.250
Cd2 0.875 0.125 0.750



Entry 8:
The following is a SCAN calculation of a crystal of Ni5Rh relaxed with PBEsol, from the Alexandria database.

Properties
The formation energy is 0.54 eV per formula unit. As for the space-group type: P4/mmm (123).

Lattice parameters (Å, degrees): 2.914 2.914 7.781 90.00 90.00 90.00
Atoms (fractional coordinates):
Ni1 0.000 0.000 0.000
Ni2 0.000 0.000 0.316
Ni3 0.000 0.000 0.684
Ni4 0.500 0.500 0.160
Ni5 0.500 0.500 0.840
Rh1 0.500 0.500 0.500



Entry 9:
The following is a SCAN calculation of a crystal of ZrTl2 relaxed with PBEsol, from the Alexandria database.

Properties
The formation energy is 0.24 eV per formula unit. As for the space-group type: P-3m1 (164).

Lattice parameters (Å, degrees): 4.969 4.969 3.278 90.00 90.00 120.00
Atoms (fractional coordinates):
Zr1 0.000 0.000 0.000
Tl1 0.333 0.667 0.651
Tl2 0.667 0.333 0.349



Entry 10:
The following is a SCAN calculation of a crystal of Li4CuP2O8 relaxed with PBEsol, from the Alexandria database.

Properties
Its polymorph energy (0 for the lowest one) is 0.026 eV/atom. As for the space-group type: P1 (1).

Lattice parameters (Å, degrees): 5.176 6.392 9.549 91.49 90.34 90.45
Atoms (fractional coordinates):
Li1 0.000 0.000 0.000
Li2 0.000 0.029 0.502
Li3 0.342 0.996 0.255
Li4 0.356 0.519 0.242
Li5 0.362 0.008 0.738
Li6 0.825 0.253 0.246
Li7 0.854 0.262 0.756
Li8 0.978 0.512 0.012
Cu1 0.023 0.546 0.474
Cu2 0.400 0.540 0.779
P1 0.485 0.241 0.004
P2 0.501 0.269 0.504
P3 0.829 0.771 0.260
P4 0.868 0.772 0.749
O1 0.016 0.578 0.680
O2 0.327 0.437 0.955
O3 0.353 0.047 0.940
O4 0.354 0.072 0.458
O5 0.370 0.465 0.446
O6 0.475 0.250 0.166
O7 0.505 0.284 0.669
O8 0.552 0.760 0.209
O9 0.581 0.765 0.701
O10 0.773 0.261 0.958
O11 0.786 0.268 0.452
O12 0.842 0.788 0.424
O13 0.898 0.747 0.907
O14 0.975 0.964 0.203
O15 0.976 0.560 0.225
O16 0.987 0.981 0.702



Entry 11:
The following is a SCAN calculation of a crystal of U3TiSb5 relaxed with PBEsol, from the Alexandria database.

Properties
As for the space-group type: P6_3/mcm (193).

Lattice parameters (Å, degrees): 8.982 8.982 6.001 90.00 90.00 120.00
Atoms (fractional coordinates):
U1 0.000 0.390 0.250
U2 0.000 0.610 0.750
U3 0.390 0.000 0.250
U4 0.390 0.390 0.750
U5 0.610 0.000 0.750
U6 0.610 0.610 0.250
Ti1 0.000 0.000 0.000
Ti2 0.000 0.000 0.500
Sb1 0.000 0.263 0.750
Sb2 0.000 0.737 0.250
Sb3 0.263 0.000 0.750
Sb4 0.263 0.263 0.250
Sb5 0.333 0.667 0.000
Sb6 0.333 0.667 0.500
Sb7 0.667 0.333 0.000
Sb8 0.667 0.333 0.500
Sb9 0.737 0.000 0.250
Sb10 0.737 0.737 0.750



Entry 12:
The following is a SCAN calculation of a crystal of Tl2Sb relaxed with PBEsol, from the Alexandria database.

Properties
Its polymorph energy (0 for the lowest one) is 0.026 eV/atom. As for the space-group type: P-3m1 (164).

Lattice parameters (Å, degrees): 5.501 5.501 3.222 90.00 90.00 120.00
Atoms (fractional coordinates):
Tl1 0.333 0.667 0.211
Tl2 0.667 0.333 0.789
Sb1 0.000 0.000 0.500



Entry 13:
The following is a SCAN calculation of a crystal of Mg16Al12Bi relaxed with PBEsol, from the Alexandria database.

Properties
The formation energy is -0.14 eV per formula unit. As for the space-group type: R3m (160).

Lattice parameters (Å, degrees): 9.094 9.094 9.094 109.31 109.31 109.31
Atoms (fractional coordinates):
Mg1 0.000 0.000 0.000
Mg2 0.284 0.681 0.681
Mg3 0.316 0.595 0.998
Mg4 0.316 0.998 0.595
Mg5 0.344 0.996 0.996
Mg6 0.392 0.392 0.707
Mg7 0.392 0.707 0.392
Mg8 0.595 0.316 0.998
Mg9 0.595 0.998 0.316
Mg10 0.681 0.284 0.681
Mg11 0.681 0.681 0.284
Mg12 0.707 0.392 0.392
Mg13 0.996 0.344 0.996
Mg14 0.996 0.996 0.344
Mg15 0.998 0.316 0.595
Mg16 0.998 0.595 0.316
Al1 0.005 0.630 0.815
Al2 0.005 0.815 0.630
Al3 0.172 0.360 0.360
Al4 0.180 0.180 0.813
Al5 0.180 0.813 0.180
Al6 0.360 0.172 0.360
Al7 0.360 0.360 0.172
Al8 0.630 0.005 0.815
Al9 0.630 0.815 0.005
Al10 0.813 0.180 0.180
Al11 0.815 0.005 0.630
Al12 0.815 0.630 0.005
Bi1 0.658 0.658 0.658



Entry 14:
The following is a SCAN calculation of a crystal of BeReAu2 relaxed with PBEsol, from the Alexandria database.

Properties
The formation energy is 1.96 eV per formula unit. As for the space-group type: Pmmm (47).

Lattice parameters (Å, degrees): 2.752 4.604 4.681 90.00 90.00 90.00
Atoms (fractional coordinates):
Be1 0.000 0.000 0.000
Re1 0.500 0.500 0.000
Au1 0.000 0.500 0.500
Au2 0.500 0.000 0.500



Entry 15:
The following is a SCAN calculation of a crystal of ZrPRu2 relaxed with PBEsol, from the Alexandria database.

Properties
The formation energy is -1.87 eV per formula unit. As for the space-group type: Pm (6).

Lattice parameters (Å, degrees): 2.989 4.277 4.774 90.00 103.22 90.00
Atoms (fractional coordinates):
Zr1 0.000 0.000 0.000
P1 0.542 0.500 0.256
Ru1 0.207 0.500 0.688
Ru2 0.603 0.000 0.481



Entry 16:
The following is a SCAN calculation of a crystal of Zr2AsRu relaxed with PBEsol, from the Alexandria database.

Properties
The formation energy is -2.83 eV per formula unit. As for the space-group type: P2/m (10).

Lattice parameters (Å, degrees): 3.264 3.338 6.555 90.00 96.90 90.00
Atoms (fractional coordinates):
Zr1 0.020 0.000 0.246
Zr2 0.980 0.000 0.754
As1 0.500 0.500 0.500
Ru1 0.500 0.500 0.000



Entry 17:
The following is a SCAN calculation of a crystal of CrInSb2I relaxed with PBEsol, from the Alexandria database.

Properties
Its polymorph energy (0 for the lowest one) is 0.000 eV/atom. As for the space-group type: P4/mmm (123).

Lattice parameters (Å, degrees): 4.973 4.973 5.830 90.00 90.00 90.00
Atoms (fractional coordinates):
Cr1 0.000 0.000 0.000
In1 0.500 0.500 0.500
Sb1 0.000 0.500 0.000
Sb2 0.500 0.000 0.000
I1 0.000 0.000 0.500



Entry 18:
The following is a SCAN calculation of a crystal of ZrScCd2 relaxed with PBEsol, from the Alexandria database.

Properties
Its polymorph energy (0 for the lowest one) is 0.212 eV/atom. The formation energy is -0.31 eV per formula unit. As for the space-group type: R3m (160).

Lattice parameters (Å, degrees): 10.167 10.167 10.167 17.90 17.90 17.90
Atoms (fractional coordinates):
Zr1 0.000 0.000 0.000
Sc1 0.749 0.749 0.749
Cd1 0.248 0.248 0.248
Cd2 0.500 0.500 0.500



Entry 19:
The following is a SCAN calculation of a crystal of KPRhO2 relaxed with PBEsol, from the Alexandria database.

Properties
Its polymorph energy (0 for the lowest one) is 1.860 eV/atom. As for the space-group type: P4/mmm (123).

Lattice parameters (Å, degrees): 3.789 3.789 6.141 90.00 90.00 90.00
Atoms (fractional coordinates):
K1 0.000 0.000 0.000
P1 0.000 0.000 0.500
Rh1 0.500 0.500 0.500
O1 0.000 0.500 0.000
O2 0.500 0.000 0.000



Entry 20:
The following is a SCAN calculation of a crystal of Ca4CdCl relaxed with PBEsol, from the Alexandria database.

Properties
As for the space-group type: F-43m (216).

Lattice parameters (Å, degrees): 6.773 6.773 6.773 60.00 60.00 60.00
Atoms (fractional coordinates):
Ca1 0.124 0.124 0.124
Ca2 0.124 0.124 0.628
Ca3 0.124 0.628 0.124
Ca4 0.628 0.124 0.124
Cd1 0.750 0.750 0.750
Cl1 0.500 0.500 0.500



Entry 21:
The following is a SCAN calculation of a crystal of NaInBr4 relaxed with PBEsol, from the Alexandria database.

Properties
As for the space-group type: P2_12_12_1 (19).

Lattice parameters (Å, degrees): 6.706 10.341 10.934 90.00 90.00 90.00
Atoms (fractional coordinates):
Na1 0.060 0.031 0.141
Na2 0.440 0.969 0.641
Na3 0.560 0.469 0.859
Na4 0.940 0.531 0.359
In1 0.030 0.741 0.785
In2 0.470 0.259 0.285
In3 0.530 0.759 0.215
In4 0.970 0.241 0.715
Br1 0.144 0.548 0.906
Br2 0.153 0.753 0.210
Br3 0.180 0.943 0.879
Br4 0.186 0.741 0.575
Br5 0.314 0.259 0.075
Br6 0.320 0.057 0.379
Br7 0.347 0.247 0.710
Br8 0.356 0.452 0.406
Br9 0.644 0.952 0.094
Br10 0.653 0.747 0.790
Br11 0.680 0.557 0.121
Br12 0.686 0.759 0.425
Br13 0.814 0.241 0.925
Br14 0.820 0.443 0.621
Br15 0.847 0.253 0.290
Br16 0.856 0.048 0.594



Entry 22:
The following is a SCAN calculation of a crystal of LiOF3 relaxed with PBEsol, from the Alexandria database.

Properties
As for the space-group type: Pm-3m (221).

Lattice parameters (Å, degrees): 3.715 3.715 3.715 90.00 90.00 90.00
Atoms (fractional coordinates):
Li1 0.000 0.000 0.000
O1 0.500 0.500 0.500
F1 0.000 0.000 0.500
F2 0.000 0.500 0.000
F3 0.500 0.000 0.000



Entry 23:
The following is a SCAN calculation of a crystal of PbAu2 relaxed with PBEsol, from the Alexandria database.

Properties
The formation energy is 0.06 eV per formula unit. As for the space-group type: Cm (8).

Lattice parameters (Å, degrees): 5.607 5.607 7.192 93.58 93.58 34.12
Atoms (fractional coordinates):
Pb1 0.000 0.000 0.000
Pb2 0.246 0.246 0.687
Au1 0.276 0.276 0.109
Au2 0.513 0.513 0.659
Au3 0.634 0.634 0.332
Au4 0.904 0.904 0.381



no.,calculated total energy (eV per atom),density (g cm⁻³),M_tot (μB per cell)
1,-55.361,16.72,0.0
2,-44.810,15.79,1.8
3,-27.216,2.92,0.0
4,-33.240,7.48,0.0
5,-15.781,3.95,1.0
6,-49.395,10.48,0.0
7,-19.711,5.01,1.8
8,-19.017,9.96,4.8
9,-58.390,11.85,0.0
10,-8.693,2.96,2.0
11,-57.317,10.86,15.9
12,-60.632,10.43,0.0
13,-8.666,2.63,0.0
14,-52.951,16.50,0.7
15,-28.154,9.07,0.0
16,-29.811,8.39,0.0
17,-32.365,6.19,1.8
18,-26.518,6.92,0.0
19,-11.357,3.86,2.4
20,-12.762,2.33,1.0
21,-20.420,4.01,0.0
22,-4.470,2.59,4.0
23,-71.344,15.77,0.0